# CdAs | the Alexandria database | PBE | optimized geometry
data_CdAs
_chemical_formula_sum 'Cd1 As1'
_cell_length_a 3.122
_cell_length_b 3.122
_cell_length_c 4.406
_cell_angle_alpha 90.00
_cell_angle_beta 90.00
_cell_angle_gamma 90.00
_symmetry_space_group_name_H-M 'P 4/m m m'
_symmetry_Int_Tables_number 123
_symmetry_space_group_name_Hall '-P 4 2'
loop_
_atom_site_label
_atom_site_type_symbol
_atom_site_fract_x
_atom_site_fract_y
_atom_site_fract_z
Cd1 Cd 0.000 0.000 0.000
As1 As 0.500 0.500 0.500
# DOS(E_F) = 0.60 states/eV/cell
# VASP energy = -2.562 eV per atom
# Energy relative to the elements = 0.44 eV per formula unit

---

# Pm3Ru | the Alexandria database | PBE | optimized geometry
data_Pm3Ru
_chemical_formula_sum 'Pm6 Ru2'
_cell_length_a 4.003
_cell_length_b 4.003
_cell_length_c 15.675
_cell_angle_alpha 90.00
_cell_angle_beta 90.00
_cell_angle_gamma 90.00
_symmetry_space_group_name_H-M 'I 4/m m m'
_symmetry_Int_Tables_number 139
_symmetry_space_group_name_Hall '-I 4 2'
loop_
_atom_site_label
_atom_site_type_symbol
_atom_site_fract_x
_atom_site_fract_y
_atom_site_fract_z
Pm1 Pm 0.000 0.000 0.000
Pm2 Pm 0.000 0.000 0.328
Ru1 Ru 0.000 0.000 0.500
# DOS(E_F) = 9.24 states/eV/cell
# VASP energy = -5.919 eV per atom
# Energy relative to the elements = -0.15 eV per formula unit

---

# PuMg2ZnSn2 | the Alexandria database | PBE | optimized geometry
data_PuMg2ZnSn2
_chemical_formula_sum 'Pu2 Mg4 Zn2 Sn4'
_cell_length_a 6.282
_cell_length_b 4.885
_cell_length_c 8.891
_cell_angle_alpha 90.00
_cell_angle_beta 90.00
_cell_angle_gamma 90.00
_symmetry_space_group_name_H-M 'P m m a'
_symmetry_Int_Tables_number 51
_symmetry_space_group_name_Hall '-P 2a 2a'
loop_
_atom_site_label
_atom_site_type_symbol
_atom_site_fract_x
_atom_site_fract_y
_atom_site_fract_z
Pu1 Pu 0.000 0.000 0.000
Mg1 Mg 0.000 0.500 0.500
Mg2 Mg 0.250 0.000 0.347
Zn1 Zn 0.250 0.500 0.838
Sn1 Sn 0.250 0.000 0.672
Sn2 Sn 0.250 0.500 0.173
# DOS(E_F) = 19.44 states/eV/cell
# VASP energy = -4.667 eV per atom
# Energy relative to the elements = -1.20 eV per formula unit